--- 1 ---
Computed, not measured: Na2Ni2O3 after structural relaxation at the PBE+U level of DFT.

Summary:
The crystal system is monoclinic.

Geometry as extended XYZ:
```
14
Lattice="5.867 0.000 0.000 0.000 5.747 0.000 -3.050 0.000 5.363" Properties=species:S:1:pos:R:3 pbc="T T T"
Na -0.427 0.901 2.133
Na -1.952 1.973 4.815
Na 4.769 3.774 0.548
Na 3.244 4.846 3.230
Ni 0.242 3.627 3.114
Ni 1.767 4.993 0.432
Ni 1.049 0.754 4.931
Ni 2.575 2.120 2.249
O 0.000 0.000 0.000
O -1.525 2.873 2.682
O 1.264 3.333 1.378
O -0.261 5.287 4.059
O 3.077 0.459 1.304
O 1.552 2.414 3.986
```

--- 2 ---
Computed, not measured: Na2Ni2O3 after structural relaxation at the PBE+U level of DFT.

Summary:
The crystal system is monoclinic.

Geometry as extended XYZ:
```
7
Lattice="5.650 -1.605 0.000 5.650 1.605 0.000 -2.105 0.000 5.127" Properties=species:S:1:pos:R:3 pbc="T T T"
Na 0.843 0.000 1.593
Na 8.353 0.000 3.534
Ni 3.811 0.000 0.578
Ni 5.385 0.000 4.549
O 0.764 0.000 3.875
O 5.650 0.000 0.000
O 8.432 0.000 1.252
```

The structure with the least stability is 2.

--- 1 ---
Computed, not measured: Na6NiO4 after structural relaxation at the PBE+U level of DFT.

Summary:
The crystal system is tetragonal.

Geometry as extended XYZ:
```
22
Lattice="7.468 0.000 0.000 0.000 7.468 0.000 0.000 0.000 5.459" Properties=species:S:1:pos:R:3 pbc="T T T"
Na 0.281 4.015 1.365
Na 0.281 7.187 1.365
Na 1.867 1.867 0.845
Na 1.867 1.867 3.575
Na 3.453 4.015 1.365
Na 3.453 7.187 1.365
Na 4.015 0.281 4.094
Na 4.015 3.453 4.094
Na 5.601 5.601 1.884
Na 5.601 5.601 4.614
Na 7.187 0.281 4.094
Na 7.187 3.453 4.094
Ni 1.867 5.601 4.094
Ni 5.601 1.867 1.365
O 0.038 5.601 3.130
O 1.867 3.772 5.058
O 1.867 7.429 5.058
O 3.695 5.601 3.130
O 3.772 1.867 2.329
O 5.601 0.038 0.401
O 5.601 3.695 0.401
O 7.429 1.867 2.329
```

--- 2 ---
Computed, not measured: Na6NiO4 after structural relaxation at the PBE+U level of DFT.

Summary:
The crystal system is monoclinic.

Geometry as extended XYZ:
```
22
Lattice="3.826 -6.622 0.000 3.826 6.622 0.000 -0.003 0.000 5.890" Properties=species:S:1:pos:R:3 pbc="T T T"
Na 2.304 3.534 2.953
Na 3.824 6.116 2.945
Na 2.203 0.940 1.934
Na 3.823 1.889 4.887
Na 2.202 -0.940 4.879
Na 5.299 3.560 2.922
Na 2.306 -3.534 0.008
Na 5.438 0.936 1.943
Na 3.825 -1.889 1.942
Na 5.437 -0.936 4.888
Na 3.826 -6.116 0.000
Na 5.297 -3.560 5.867
Ni 3.804 4.424 0.632
Ni 3.803 -4.424 3.577
O 1.657 1.269 4.216
O 3.846 4.401 4.537
O 1.658 -1.269 1.271
O 3.848 2.514 1.276
O 5.971 1.233 4.238
O 3.846 -2.514 4.221
O 3.847 -4.401 1.592
O 5.972 -1.233 1.293
```

The structure with the least stability is 1.

--- 1 ---
Computed, not measured: Na5NiO4 after structural relaxation at the PBE+U level of DFT.

Summary:
The crystal system is triclinic.

Geometry as extended XYZ:
```
10
Lattice="4.143 0.000 0.000 1.279 5.600 0.000 1.893 0.321 6.025" Properties=species:S:1:pos:R:3 pbc="T T T"
Na 0.000 0.000 0.000
Na 2.238 3.862 3.946
Na 3.073 3.806 0.978
Na 4.242 2.114 5.047
Na 5.077 2.058 2.079
Ni 3.018 0.160 3.013
O 2.204 1.443 3.982
O 4.351 4.446 4.772
O 2.964 1.475 1.253
O 5.111 4.477 2.043
```

--- 2 ---
Computed, not measured: Na5NiO4 after structural relaxation at the PBE+U level of DFT.

Summary:
The crystal system is orthorhombic.

Geometry as extended XYZ:
```
80
Lattice="5.977 0.000 0.000 0.000 18.034 0.000 0.000 0.000 10.365" Properties=species:S:1:pos:R:3 pbc="T T T"
Na 0.435 2.521 2.096
Na 0.435 6.496 7.278
Na 0.468 1.179 9.753
Na 0.468 7.838 4.570
Na 0.515 9.050 1.656
Na 0.515 18.002 6.839
Na 0.619 12.101 8.582
Na 0.621 13.492 6.001
Na 0.621 13.560 0.819
Na 0.619 14.951 3.400
Na 2.369 3.084 8.582
Na 2.367 4.475 6.001
Na 2.367 4.542 0.819
Na 2.369 5.933 3.400
Na 2.473 0.033 1.656
Na 2.473 8.985 6.839
Na 2.520 10.196 9.753
Na 2.520 16.856 4.570
Na 2.553 11.538 2.096
Na 2.553 15.513 7.278
Na 3.423 2.521 3.087
Na 3.423 6.496 8.269
Na 3.456 1.179 5.794
Na 3.456 7.838 0.612
Na 3.504 9.050 3.526
Na 3.504 18.002 8.708
Na 3.608 12.101 6.964
Na 3.610 13.492 9.546
Na 3.610 13.560 4.364
Na 3.608 14.951 1.782
Na 5.357 3.084 6.964
Na 5.355 4.475 9.546
Na 5.355 4.542 4.364
Na 5.357 5.933 1.782
Na 5.461 0.033 3.526
Na 5.461 8.985 8.708
Na 5.509 10.196 5.794
Na 5.509 16.856 0.612
Na 5.542 11.538 3.087
Na 5.542 15.513 8.269
Ni 1.038 2.236 4.770
Ni 1.038 6.782 9.952
Ni 1.950 11.253 4.770
Ni 1.950 15.799 9.952
Ni 4.027 2.236 0.413
Ni 4.027 6.782 5.595
Ni 4.938 11.253 0.413
Ni 4.938 15.799 5.595
O 0.825 11.195 0.503
O 0.825 15.857 5.685
O 1.173 9.842 3.823
O 1.173 17.209 9.005
O 1.413 12.836 3.874
O 1.413 14.216 9.056
O 1.427 11.278 6.588
O 1.427 15.774 1.405
O 1.562 2.260 6.588
O 1.562 6.757 1.405
O 1.575 3.818 3.874
O 1.575 5.199 9.056
O 1.816 0.825 3.823
O 1.816 8.192 9.005
O 2.163 2.178 0.503
O 2.163 6.840 5.685
O 3.813 11.195 4.680
O 3.813 15.857 9.862
O 4.161 9.842 1.359
O 4.161 17.209 6.541
O 4.402 12.836 1.309
O 4.402 14.216 6.491
O 4.415 11.278 8.959
O 4.415 15.774 3.777
O 4.550 2.260 8.959
O 4.550 6.757 3.777
O 4.563 3.818 1.309
O 4.563 5.199 6.491
O 4.804 0.825 1.359
O 4.804 8.192 6.541
O 5.152 2.178 4.680
O 5.152 6.840 9.862
```

The structure with the least stability is 1.

--- 1 ---
Computed, not measured: NaNiPO2 after structural relaxation at the PBE+U level of DFT.

Summary:
The crystal system is tetragonal.

Geometry as extended XYZ:
```
5
Lattice="3.978 0.000 0.000 0.000 3.978 0.000 0.000 0.000 4.256" Properties=species:S:1:pos:R:3 pbc="T T T"
Na 0.000 0.000 0.000
Ni 1.989 1.989 2.128
P 1.989 1.989 0.000
O 0.000 1.989 2.128
O 1.989 0.000 2.128
```

--- 2 ---
Computed, not measured: NaNiPO2 after structural relaxation at the PBE+U level of DFT.

Summary:
The crystal system is tetragonal.

Geometry as extended XYZ:
```
5
Lattice="3.994 0.000 0.000 0.000 3.994 0.000 0.000 0.000 5.173" Properties=species:S:1:pos:R:3 pbc="T T T"
Na 0.000 0.000 0.000
Ni 1.997 1.997 2.587
P 0.000 0.000 2.587
O 0.000 1.997 0.000
O 1.997 0.000 0.000
```

The structure with the least stability is 2.

--- 1 ---
Computed, not measured: NaNiP2O after structural relaxation at the PBE+U level of DFT.

Summary:
The crystal system is tetragonal.

Geometry as extended XYZ:
```
5
Lattice="4.792 0.000 0.000 0.000 4.792 0.000 0.000 0.000 3.840" Properties=species:S:1:pos:R:3 pbc="T T T"
Na 0.000 0.000 0.000
Ni 2.396 2.396 1.920
P 0.000 2.396 0.000
P 2.396 0.000 0.000
O 0.000 0.000 1.920
```

--- 2 ---
Computed, not measured: NaNiP2O after structural relaxation at the PBE+U level of DFT.

Summary:
The crystal system is tetragonal.

Geometry as extended XYZ:
```
5
Lattice="4.629 0.000 0.000 0.000 4.629 0.000 0.000 0.000 3.705" Properties=species:S:1:pos:R:3 pbc="T T T"
Na 0.000 0.000 0.000
Ni 2.314 2.314 1.852
P 0.000 2.314 1.852
P 2.314 0.000 1.852
O 2.314 2.314 0.000
```

The structure with the least stability is 1.